No. 1
# Rb2CoS2

Crystalline Rb2CoS2 at its relaxed geometry (PBE-GGA, Alexandria via LeMat-Bulk).

- DOS at the Fermi energy: 8.19 states/eV/cell
- VASP energy: -42.07 eV per cell
- Crystal system: orthorhombic

```
data_Rb2CoS2
_chemical_formula_sum 'Rb4 Co2 S4'
_cell_length_a 8.101
_cell_length_b 8.101
_cell_length_c 8.101
_cell_angle_alpha 128.04
_cell_angle_beta 70.36
_cell_angle_gamma 136.04
_symmetry_space_group_name_H-M 'P 1'
_symmetry_Int_Tables_number 1
loop_
_symmetry_equiv_pos_as_xyz
'x,y,z'
loop_
_atom_site_label
_atom_site_type_symbol
_atom_site_fract_x
_atom_site_fract_y
_atom_site_fract_z
_atom_site_occupancy
Rb1 Rb 0.147 0.167 0.314 1
Rb2 Rb 0.353 0.667 0.020 1
Rb3 Rb 0.647 0.333 0.980 1
Rb4 Rb 0.853 0.833 0.686 1
Co1 Co 0.250 0.750 0.500 1
Co2 Co 0.750 0.250 0.500 1
S1 S 0.095 0.672 0.767 1
S2 S 0.405 0.172 0.577 1
S3 S 0.595 0.828 0.423 1
S4 S 0.905 0.328 0.233 1
```

No. 2
# RbCoS3

Crystalline RbCoS3 at its relaxed geometry (PBE-GGA, Alexandria via LeMat-Bulk).

- Energy above the lowest structure with this stoichiometry: 2082 meV/atom
- DOS at the Fermi energy: 9.64 states/eV/cell
- VASP energy: -11.39 eV per cell
- Crystal system: cubic

```
data_RbCoS3
_chemical_formula_sum 'Rb1 Co1 S3'
_cell_length_a 5.754
_cell_length_b 5.754
_cell_length_c 5.754
_cell_angle_alpha 90.00
_cell_angle_beta 90.00
_cell_angle_gamma 90.00
_symmetry_space_group_name_H-M 'P 1'
_symmetry_Int_Tables_number 1
loop_
_symmetry_equiv_pos_as_xyz
'x,y,z'
loop_
_atom_site_label
_atom_site_type_symbol
_atom_site_fract_x
_atom_site_fract_y
_atom_site_fract_z
_atom_site_occupancy
Rb1 Rb 0.000 0.000 0.000 1
Co1 Co 0.500 0.500 0.500 1
S1 S 0.000 0.000 0.500 1
S2 S 0.000 0.500 0.000 1
S3 S 0.500 0.000 0.000 1
```

No. 3
# RbCoS

Crystalline RbCoS at its relaxed geometry (PBE-GGA, Alexandria via LeMat-Bulk).

- DOS at the Fermi energy: 8.55 states/eV/cell
- VASP energy: -54.94 eV per cell
- Crystal system: monoclinic

```
data_RbCoS
_chemical_formula_sum 'Rb4 Co4 S4'
_cell_length_a 12.555
_cell_length_b 3.987
_cell_length_c 7.705
_cell_angle_alpha 90.00
_cell_angle_beta 124.71
_cell_angle_gamma 90.00
_symmetry_space_group_name_H-M 'P 1'
_symmetry_Int_Tables_number 1
loop_
_symmetry_equiv_pos_as_xyz
'x,y,z'
loop_
_atom_site_label
_atom_site_type_symbol
_atom_site_fract_x
_atom_site_fract_y
_atom_site_fract_z
_atom_site_occupancy
Rb1 Rb 0.054 0.000 0.299 1
Rb2 Rb 0.446 0.500 0.701 1
Rb3 Rb 0.554 0.500 0.299 1
Rb4 Rb 0.946 0.000 0.701 1
Co1 Co 0.242 0.500 0.897 1
Co2 Co 0.258 0.000 0.103 1
Co3 Co 0.742 0.000 0.897 1
Co4 Co 0.758 0.500 0.103 1
S1 S 0.231 0.500 0.174 1
S2 S 0.269 0.000 0.826 1
S3 S 0.731 0.000 0.174 1
S4 S 0.769 0.500 0.826 1
```

| no. | total magnetic moment (μB/f.u.) | E_form (uncorrected) (eV/atom) |
| --- | --- | --- |
| 1 | 3.00 | -0.75 |
| 2 | 6.01 | 1.81 |
| 3 | 0.94 | -0.51 |